A geometry-optimized Pm3PrEr7 structure. Source: Alexandria via LeMat-Bulk, functional GGA-PBE.

Computed properties:
**SG**: Immm
**ΔH_f (0 K)**: 0.258 eV/atom
**Total magnetization**: 0.00 μB/f.u.
**V**: 364 Å³/cell
**Crystal system**: orthorhombic
**Energy above the lowest structure with this stoichiometry**: 107 meV per atom
**DOS at the Fermi energy**: 15.66 states/eV per cell

The structure in extended XYZ format:
```
11
Lattice="-2.9117 5.5785 5.6075 2.9117 -5.5785 5.6075 2.9117 5.5785 -5.6075" Properties=species:S:1:pos:R:3 pbc="T T T"
Pm 0.0000 0.0000 0.0000
Pm 2.9117 0.0000 2.3621
Pm 0.0000 5.5785 3.2454
Pr 0.0000 0.0000 5.6075
Er 2.9117 -3.2228 3.4460
Er 2.9117 2.2789 0.0000
Er 0.0000 2.3557 2.1615
Er 0.0000 5.5785 0.0000
Er 2.9117 3.2228 3.4460
Er 0.0000 3.2995 5.6075
Er 0.0000 8.8013 2.1615
```